This record from Alexandria describes a relaxed BeCo2Se crystal. The functional is GGA-PBEsol.

Calculated values
V	42.51	Å³ per cell
formation energy (no corrections)	0.1	eV per formula unit
offset from the most stable computed form	37	meV per atom
DFT total energy	-23.2	eV per cell

a b c (Å): 3.917 3.917 3.917
angles (deg): 60.00 60.00 60.00
Atoms (fractional coordinates):
Be1 0.000 0.000 0.000
Co1 0.250 0.250 0.250
Co2 0.750 0.750 0.750
Se1 0.500 0.500 0.500